1.
{
  "formula": "Ba2LiTl2",
  "functional": "PBE",
  "state": "optimized geometry",
  "lattice": [[-0.993, -2.602, 4.635], [-4.171, -4.929, -0.507], [8.262, -8.342, 0.240]],
  "species": ["Ba", "Ba", "Ba", "Ba", "Li", "Li", "Tl", "Tl", "Tl", "Tl"],
  "frac_coords": [[0.677, 0.315, 0.331], [0.911, 0.286, 0.893], [0.323, 0.685, 0.669], [0.089, 0.714, 0.107], [0.648, 0.067, 0.636], [0.352, 0.933, 0.364], [0.079, 0.269, 0.574], [0.619, 0.883, 0.879], [0.921, 0.731, 0.426], [0.381, 0.117, 0.121]],
  "mass_density_g_cm3": 6.3,
  "dft_energy_ev_per_cell": -24.1
}

---

2.
{
  "formula": "Ba2LiTl2",
  "functional": "PBE",
  "state": "optimized geometry",
  "lattice": [[-1.493, -0.251, -9.104], [-8.652, -2.840, 1.497], [-1.445, 4.461, 0.114]],
  "species": ["Tl", "Tl", "Tl", "Tl", "Ba", "Ba", "Ba", "Ba", "Li", "Li"],
  "frac_coords": [[0.364, 0.864, 0.000], [0.864, 0.636, 0.000], [0.636, 0.136, 0.000], [0.136, 0.364, 0.000], [0.163, 0.663, 0.500], [0.663, 0.837, 0.500], [0.837, 0.337, 0.500], [0.337, 0.163, 0.500], [0.000, 0.000, 0.000], [0.500, 0.500, 0.000]],
  "mass_density_g_cm3": 5.7,
  "dft_energy_ev_per_cell": -23.4
}

---

3.
{
  "formula": "Ba3Li4Tl2",
  "functional": "PBE",
  "state": "optimized geometry",
  "lattice": [[5.091, 0.000, 0.000], [-2.546, 5.864, -1.692], [0.000, 0.086, 10.013]],
  "species": ["Ba", "Ba", "Ba", "Li", "Li", "Li", "Li", "Tl", "Tl"],
  "frac_coords": [[0.382, 0.763, 0.626], [0.000, 0.000, 0.000], [0.618, 0.237, 0.374], [0.734, 0.469, 0.065], [0.101, 0.203, 0.659], [0.899, 0.797, 0.341], [0.266, 0.531, 0.935], [0.298, 0.597, 0.234], [0.702, 0.403, 0.766]],
  "mass_density_g_cm3": 4.7,
  "dft_energy_ev_per_cell": -19.9
}

---

4.
{
  "formula": "Ba2LiTl3",
  "functional": "PBE",
  "state": "optimized geometry",
  "lattice": [[-4.767, 2.247, -0.685], [-4.932, -3.210, 3.183], [-1.591, 4.422, 4.961]],
  "species": ["Ba", "Ba", "Li", "Tl", "Tl", "Tl"],
  "frac_coords": [[0.543, 0.199, 0.714], [0.457, 0.794, 0.292], [0.166, 0.400, 0.268], [0.854, 0.591, 0.701], [0.819, 0.238, 0.124], [0.161, 0.778, 0.900]],
  "mass_density_g_cm3": 7.2,
  "dft_energy_ev_per_cell": -14.9
}

---

5.
{
  "formula": "BaLi2Tl",
  "functional": "PBE",
  "state": "optimized geometry",
  "lattice": [[-3.804, 2.449, 0.129], [-2.456, -3.665, -2.863], [-1.445, -2.476, 4.410]],
  "species": ["Ba", "Li", "Li", "Tl"],
  "frac_coords": [[0.500, 0.000, 0.500], [0.000, 0.000, 0.000], [0.000, 0.500, 0.500], [0.500, 0.500, 0.000]],
  "mass_density_g_cm3": 4.7,
  "dft_energy_ev_per_cell": -8.2
}

---

6.
{
  "formula": "Ba6LiTl5",
  "functional": "PBE",
  "state": "optimized geometry",
  "lattice": [[5.744, -0.034, 1.914], [0.047, 8.684, 0.016], [0.002, -0.017, 9.569]],
  "species": ["Tl", "Tl", "Tl", "Tl", "Tl", "Ba", "Ba", "Ba", "Ba", "Ba", "Ba", "Li"],
  "frac_coords": [[0.664, 0.500, 0.673], [0.335, 0.000, 0.330], [0.000, 0.500, 0.000], [0.665, 0.000, 0.670], [0.336, 0.500, 0.327], [0.831, 0.748, 0.338], [0.831, 0.252, 0.338], [0.500, 0.255, 0.000], [0.500, 0.745, 0.000], [0.169, 0.748, 0.662], [0.169, 0.252, 0.662], [0.000, 0.000, 0.000]],
  "mass_density_g_cm3": 6.4,
  "dft_energy_ev_per_cell": -29.5
}

---

7.
{
  "formula": "BaLi2Tl",
  "functional": "PBE",
  "state": "optimized geometry",
  "lattice": [[4.842, 0.000, 0.000], [-2.421, 4.193, 0.000], [0.000, 0.000, 11.976]],
  "species": ["Ba", "Ba", "Li", "Li", "Li", "Li", "Tl", "Tl"],
  "frac_coords": [[0.333, 0.667, 0.250], [0.667, 0.333, 0.750], [0.667, 0.333, 0.041], [0.333, 0.667, 0.541], [0.667, 0.333, 0.459], [0.333, 0.667, 0.959], [0.000, 0.000, 0.000], [0.000, 0.000, 0.500]],
  "mass_density_g_cm3": 4.9,
  "dft_energy_ev_per_cell": -17.9
}

---

8.
{
  "formula": "BaLi2Tl",
  "functional": "PBE",
  "state": "optimized geometry",
  "lattice": [[6.593, 0.002, 0.007], [-2.982, 5.880, 0.007], [1.024, 1.667, 3.360]],
  "species": ["Ba", "Li", "Li", "Tl"],
  "frac_coords": [[0.000, 0.500, 0.500], [0.000, 0.000, 0.000], [0.500, 0.500, 0.000], [0.500, 0.000, 0.500]],
  "mass_density_g_cm3": 4.5,
  "dft_energy_ev_per_cell": -8.1
}

---

9.
{
  "formula": "BaLiTl3",
  "functional": "PBE",
  "state": "optimized geometry",
  "lattice": [[6.466, 0.000, 0.000], [0.000, 6.466, 0.000], [0.000, 0.000, 6.466]],
  "species": ["Tl", "Tl", "Tl", "Ba", "Li"],
  "frac_coords": [[0.000, 0.500, 0.000], [0.000, 0.000, 0.500], [0.500, 0.000, 0.000], [0.000, 0.000, 0.000], [0.500, 0.500, 0.500]],
  "mass_density_g_cm3": 4.7,
  "dft_energy_ev_per_cell": -8.1
}

---

10.
{
  "formula": "Ba3Li7Tl4",
  "functional": "PBE",
  "state": "optimized geometry",
  "lattice": [[-3.380, 1.831, 3.381], [-4.013, -7.692, 4.031], [3.613, -1.481, 8.292]],
  "species": ["Ba", "Ba", "Ba", "Li", "Li", "Li", "Li", "Li", "Li", "Li", "Tl", "Tl", "Tl", "Tl"],
  "frac_coords": [[0.305, 0.187, 0.203], [0.695, 0.813, 0.797], [0.000, 0.500, 0.500], [0.314, 0.845, 0.526], [0.502, 0.223, 0.773], [0.883, 0.332, 0.902], [0.686, 0.155, 0.474], [0.117, 0.668, 0.098], [0.000, 0.000, 0.000], [0.498, 0.777, 0.227], [0.682, 0.481, 0.155], [0.318, 0.519, 0.845], [0.888, 0.892, 0.331], [0.112, 0.108, 0.669]],
  "mass_density_g_cm3": 5.3,
  "dft_energy_ev_per_cell": -31.8
}

---

11.
{
  "formula": "Ba3LiTl4",
  "functional": "PBE",
  "state": "optimized geometry",
  "lattice": [[4.087, 0.000, 0.000], [0.000, 4.087, 0.000], [0.000, 0.000, 16.903]],
  "species": ["Tl", "Tl", "Tl", "Tl", "Ba", "Ba", "Ba", "Li"],
  "frac_coords": [[0.000, 0.000, 0.907], [0.000, 0.000, 0.093], [0.000, 0.000, 0.370], [0.000, 0.000, 0.630], [0.500, 0.500, 0.234], [0.500, 0.500, 0.500], [0.500, 0.500, 0.766], [0.500, 0.500, 0.000]],
  "mass_density_g_cm3": 7.3,
  "dft_energy_ev_per_cell": -19.7
}

---

12.
{
  "formula": "Ba6LiTl3",
  "functional": "PBE",
  "state": "optimized geometry",
  "lattice": [[-2.502, 6.988, -6.521], [-6.871, -5.930, -3.718], [-7.922, 8.414, 1.219]],
  "species": ["Ba", "Ba", "Ba", "Ba", "Ba", "Ba", "Ba", "Ba", "Ba", "Ba", "Ba", "Ba", "Li", "Li", "Tl", "Tl", "Tl", "Tl", "Tl", "Tl"],
  "frac_coords": [[0.722, 0.155, 0.854], [0.730, 0.243, 0.504], [0.749, 0.363, 0.129], [0.251, 0.637, 0.871], [0.270, 0.757, 0.496], [0.278, 0.845, 0.146], [0.222, 0.345, 0.354], [0.230, 0.257, 0.004], [0.249, 0.137, 0.629], [0.751, 0.863, 0.371], [0.770, 0.743, 0.996], [0.778, 0.655, 0.646], [0.500, 0.500, 0.500], [0.000, 0.000, 0.000], [0.455, 0.964, 0.764], [0.500, 0.500, 0.000], [0.545, 0.036, 0.236], [0.955, 0.536, 0.264], [0.000, 0.000, 0.500], [0.045, 0.464, 0.736]],
  "mass_density_g_cm3": 5.4,
  "dft_energy_ev_per_cell": -45.3
}

---

It is found that the size of the total moment values, taken in the order of the records, are 0.00 0.00 0.00 0.00 0.07 0.00 0.00 0.00 0.00 0.00 0.00 0.00 μB per cell.